A plane-wave DFT calculation with PBE was carried out for Nd2Zn2Rh15 after structural relaxation.

## Properties
Raw total energy: -126.4 eV for the cell shown
ΔH_f (0 K): -0.2121 eV per atom

a = 6.822 Å, b = 6.822 Å, c = 6.822 Å
α = 82.65°, β = 82.65°, γ = 82.65°
Positions (direct):
Nd1 0.156 0.156 0.156
Nd2 0.844 0.844 0.844
Zn1 0.401 0.401 0.401
Zn2 0.599 0.599 0.599
Rh1 0.000 0.500 0.500
Rh2 0.150 0.150 0.648
Rh3 0.150 0.648 0.150
Rh4 0.202 0.500 0.798
Rh5 0.202 0.798 0.500
Rh6 0.352 0.850 0.850
Rh7 0.500 0.000 0.500
Rh8 0.500 0.202 0.798
Rh9 0.500 0.500 0.000
Rh10 0.500 0.798 0.202
Rh11 0.648 0.150 0.150
Rh12 0.798 0.202 0.500
Rh13 0.798 0.500 0.202
Rh14 0.850 0.352 0.850
Rh15 0.850 0.850 0.352

A plane-wave DFT calculation with PBE was carried out for Nd3Zn4Rh2 after structural relaxation.

## Properties
Raw total energy: -38.8 eV for the cell shown
ΔH_f (0 K): -0.5209 eV per atom

a = 6.009 Å, b = 6.009 Å, c = 8.641 Å
α = 111.16°, β = 111.16°, γ = 41.87°
Positions (direct):
Nd1 0.000 0.000 0.000
Nd2 0.316 0.316 0.352
Nd3 0.684 0.684 0.648
Zn1 0.032 0.032 0.371
Zn2 0.281 0.281 0.947
Zn3 0.719 0.719 0.053
Zn4 0.968 0.968 0.629
Rh1 0.394 0.394 0.732
Rh2 0.606 0.606 0.268

A plane-wave DFT calculation with PBE was carried out for NdZrZnRh after structural relaxation.

## Properties
Raw total energy: -93.4 eV for the cell shown
ΔH_f (0 K): -0.3525 eV per atom

a = 6.931 Å, b = 6.931 Å, c = 6.931 Å
α = 90.00°, β = 90.00°, γ = 90.00°
Positions (direct):
Nd1 0.000 0.000 0.000
Nd2 0.000 0.500 0.500
Nd3 0.500 0.000 0.500
Nd4 0.500 0.500 0.000
Zr1 0.000 0.000 0.500
Zr2 0.000 0.500 0.000
Zr3 0.500 0.000 0.000
Zr4 0.500 0.500 0.500
Zn1 0.250 0.250 0.750
Zn2 0.250 0.750 0.250
Zn3 0.750 0.250 0.250
Zn4 0.750 0.750 0.750
Rh1 0.250 0.250 0.250
Rh2 0.250 0.750 0.750
Rh3 0.750 0.250 0.750
Rh4 0.750 0.750 0.250

> What is the raw total energy in the third record?

-93.4 eV for the cell shown

Copy entry 3 word for word.
A plane-wave DFT calculation with PBE was carried out for NdZrZnRh after structural relaxation.

## Properties
Raw total energy: -93.4 eV for the cell shown
ΔH_f (0 K): -0.3525 eV per atom

a = 6.931 Å, b = 6.931 Å, c = 6.931 Å
α = 90.00°, β = 90.00°, γ = 90.00°
Positions (direct):
Nd1 0.000 0.000 0.000
Nd2 0.000 0.500 0.500
Nd3 0.500 0.000 0.500
Nd4 0.500 0.500 0.000
Zr1 0.000 0.000 0.500
Zr2 0.000 0.500 0.000
Zr3 0.500 0.000 0.000
Zr4 0.500 0.500 0.500
Zn1 0.250 0.250 0.750
Zn2 0.250 0.750 0.250
Zn3 0.750 0.250 0.250
Zn4 0.750 0.750 0.750
Rh1 0.250 0.250 0.250
Rh2 0.250 0.750 0.750
Rh3 0.750 0.250 0.750
Rh4 0.750 0.750 0.250